A relaxed TaSeF crystal. Source: Alexandria via LeMat-Bulk, functional PBE.

Calculated values
DOS(E_F) = 0.979 states/eV/atom
spin magnetization = 0.002 μB per formula unit
formation energy without anion corrections = -1.5155 eV per atom

a = 11.629 Å, b = 3.275 Å, c = 7.788 Å
α = 90.00°, β = 116.11°, γ = 90.00°
Space group C2/m (No. 12)
Asymmetric unit:
Ta  0.158  0.000  0.021 [4 per cell]
Se  0.193  0.000  0.716 [4 per cell]
F  0.035  0.000  0.169 [4 per cell]

=====

A relaxed CaSnBi2O8 crystal. Source: Alexandria via LeMat-Bulk, functional PBE.

Calculated values
DOS(E_F) = 0.090 states/eV/atom
spin magnetization = 0.000 μB per formula unit
formation energy without anion corrections = -1.3760 eV per atom

a = 5.006 Å, b = 6.830 Å, c = 5.013 Å
α = 90.00°, β = 92.84°, γ = 90.00°
Space group P2/m (No. 10)
Asymmetric unit:
Ca  0.000  0.000  0.000 [1 per cell]
Sn  0.000  0.500  0.000 [1 per cell]
Bi  0.500  0.252  0.500 [2 per cell]
O  0.196  0.270  0.194 [4 per cell]
O  0.300  0.500  0.697 [2 per cell]
O  0.316  0.000  0.682 [2 per cell]

=====

A relaxed Os2Br4Cl3 crystal. Source: Alexandria via LeMat-Bulk, functional PBE.

Calculated values
DOS(E_F) = 0.334 states/eV/atom
spin magnetization = 0.943 μB per formula unit
formation energy without anion corrections = -0.1992 eV per atom

a = 12.310 Å, b = 13.843 Å, c = 9.178 Å
α = 90.00°, β = 122.10°, γ = 90.00°
Space group C2/c (No. 15)
Asymmetric unit:
Os  0.181  0.209  0.376 [8 per cell]
Br  0.060  0.117  0.474 [8 per cell]
Br  0.202  0.436  0.601 [8 per cell]
Cl  0.000  0.317  0.250 [4 per cell]
Cl  0.227  0.268  0.184 [8 per cell]

=====

A relaxed Dy3Pb5O12 crystal. Source: Alexandria via LeMat-Bulk, functional PBE.

Calculated values
DOS(E_F) = 0.419 states/eV/atom
spin magnetization = 0.000 μB per formula unit
formation energy without anion corrections = -1.7161 eV per atom

a = 13.666 Å, b = 13.666 Å, c = 13.666 Å
α = 90.00°, β = 90.00°, γ = 90.00°
Space group Ia-3d (No. 230)
Asymmetric unit:
Dy  0.000  0.250  0.125 [24 per cell]
Pb  0.000  0.000  0.000 [16 per cell]
Pb  0.000  0.250  0.375 [24 per cell]
O  0.015  0.071  0.653 [96 per cell]

=====

A relaxed Al2TePd8 crystal. Source: Alexandria via LeMat-Bulk, functional PBE.

Calculated values
DOS(E_F) = 0.462 states/eV/atom
spin magnetization = 0.000 μB per formula unit
formation energy without anion corrections = -0.5394 eV per atom

a = 14.712 Å, b = 4.078 Å, c = 6.211 Å
α = 90.00°, β = 108.95°, γ = 90.00°
Space group C2/m (No. 12)
Asymmetric unit:
Al  0.194  0.000  0.184 [4 per cell]
Te  0.000  0.500  0.500 [2 per cell]
Pd  0.033  0.000  0.245 [4 per cell]
Pd  0.098  0.500  0.968 [4 per cell]
Pd  0.173  0.500  0.445 [4 per cell]
Pd  0.190  0.000  0.782 [4 per cell]

=====

A relaxed Cr7Ir crystal. Source: Alexandria via LeMat-Bulk, functional PBE.

Calculated values
DOS(E_F) = 1.808 states/eV/atom
energy of formation = 221 meV/atom
spin magnetization = 0.000 μB per formula unit

a = 7.321 Å, b = 7.321 Å, c = 7.321 Å
α = 90.00°, β = 90.00°, γ = 90.00°
Space group Fm-3m (No. 225)
Asymmetric unit:
Cr  0.000  0.000  0.000 [4 per cell]
Cr  0.000  0.250  0.250 [24 per cell]
Ir  0.000  0.000  0.500 [4 per cell]

=====

A relaxed MgB2S crystal. Source: Alexandria via LeMat-Bulk, functional PBE.

Calculated values
DOS(E_F) = 0.013 states/eV/atom
spin magnetization = 0.000 μB per formula unit
formation energy without anion corrections = -0.3625 eV per atom

a = 3.248 Å, b = 3.314 Å, c = 9.419 Å
α = 91.96°, β = 98.15°, γ = 90.51°
Space group P1 (No. 1)
Asymmetric unit:
Mg  0.000  0.000  0.000 [1 per cell]
Mg  0.136  0.527  0.341 [1 per cell]
B  0.162  0.921  0.597 [1 per cell]
B  0.357  0.450  0.687 [1 per cell]
B  0.615  0.745  0.558 [1 per cell]
B  0.804  0.286  0.602 [1 per cell]
S  0.453  0.489  0.891 [1 per cell]
S  0.604  0.018  0.220 [1 per cell]

=====

A relaxed Cr3Rh crystal. Source: Alexandria via LeMat-Bulk, functional PBE.

Calculated values
DOS(E_F) = 1.512 states/eV/atom
energy of formation = 162 meV/atom
spin magnetization = 0.002 μB per formula unit

a = 5.217 Å, b = 7.393 Å, c = 2.580 Å
α = 90.00°, β = 90.00°, γ = 90.00°
Space group Cmmm (No. 65)
Asymmetric unit:
Cr  0.000  0.000  0.000 [2 per cell]
Cr  0.250  0.250  0.500 [4 per cell]
Rh  0.000  0.500  0.000 [2 per cell]

=====

A relaxed Mg2Au crystal. Source: Alexandria via LeMat-Bulk, functional PBE.

Calculated values
DOS(E_F) = 0.391 states/eV/atom
energy of formation = -510 meV/atom
spin magnetization = 0.000 μB per formula unit

a = 6.091 Å, b = 4.482 Å, c = 8.556 Å
α = 90.00°, β = 90.00°, γ = 90.00°
Space group Pnma (No. 62)
Asymmetric unit:
Mg  0.043  0.250  0.202 [4 per cell]
Mg  0.172  0.250  0.561 [4 per cell]
Au  0.224  0.250  0.884 [4 per cell]

=====

A relaxed Cd10InGa2 crystal. Source: Alexandria via LeMat-Bulk, functional PBE.

Calculated values
DOS(E_F) = 0.337 states/eV/atom
energy of formation = 64 meV/atom
spin magnetization = 0.000 μB per formula unit

a = 5.493 Å, b = 14.329 Å, c = 15.481 Å
α = 90.00°, β = 90.00°, γ = 90.00°
Space group Fmmm (No. 69)
Asymmetric unit:
Cd  0.000  0.102  0.106 [16 per cell]
Cd  0.000  0.175  0.322 [16 per cell]
Cd  0.250  0.250  0.000 [8 per cell]
In  0.000  0.000  0.500 [4 per cell]
Ga  0.250  0.000  0.250 [8 per cell]

=====

A relaxed HfMn2V2 crystal. Source: Alexandria via LeMat-Bulk, functional PBE.

Calculated values
DOS(E_F) = 1.586 states/eV/atom
energy of formation = 28 meV/atom
spin magnetization = 0.000 μB per formula unit

a = 3.924 Å, b = 3.924 Å, c = 9.595 Å
α = 90.00°, β = 90.00°, γ = 90.00°
Space group I4/mmm (No. 139)
Asymmetric unit:
Hf  0.000  0.000  0.000 [2 per cell]
Mn  0.000  0.000  0.387 [4 per cell]
V  0.000  0.500  0.250 [4 per cell]

=====

A relaxed DyZnGa crystal. Source: Alexandria via LeMat-Bulk, functional PBE.

Calculated values
DOS(E_F) = 0.688 states/eV/atom
energy of formation = -226 meV/atom
spin magnetization = 0.000 μB per formula unit

a = 3.644 Å, b = 16.206 Å, c = 4.709 Å
α = 90.00°, β = 90.00°, γ = 90.00°
Space group Cmcm (No. 63)
Asymmetric unit:
Dy  0.000  0.167  0.250 [4 per cell]
Zn  0.000  0.031  0.750 [4 per cell]
Ga  0.000  0.350  0.250 [4 per cell]

=====

A relaxed NiRh2Cl crystal. Source: Alexandria via LeMat-Bulk, functional PBE.

Calculated values
DOS(E_F) = 1.769 states/eV/atom
spin magnetization = 0.001 μB per formula unit
formation energy without anion corrections = 0.2744 eV per atom

a = 2.8704 Å, b = 2.8704 Å, c = 23.8186 Å
α = 90.00°, β = 90.00°, γ = 120.00°
Space group R3m (No. 160, hexagonal axes)
Asymmetric unit:
Ni  0.0000  0.0000  0.0000 [3 per cell]
Rh  0.0000  0.0000  0.2509 [3 per cell]
Rh  0.0000  0.0000  0.4959 [3 per cell]
Cl  0.0000  0.0000  0.7374 [3 per cell]

=====

A relaxed NaLaTeCl2 crystal. Source: Alexandria via LeMat-Bulk, functional PBE.

Calculated values
DOS(E_F) = 0.000 states/eV/atom
spin magnetization = 0.000 μB per formula unit
formation energy without anion corrections = -1.7463 eV per atom

a = 4.493 Å, b = 4.493 Å, c = 14.840 Å
α = 90.00°, β = 90.00°, γ = 90.00°
Space group I4mm (No. 107)
Asymmetric unit:
Na  0.000  0.000  0.000 [2 per cell]
La  0.000  0.000  0.728 [2 per cell]
Te  0.000  0.000  0.329 [2 per cell]
Cl  0.000  0.500  0.108 [4 per cell]

=====

A relaxed Ta2OsAu crystal. Source: Alexandria via LeMat-Bulk, functional PBE.

Calculated values
DOS(E_F) = 1.424 states/eV/atom
energy of formation = 106 meV/atom
spin magnetization = 0.000 μB per formula unit

a = 6.506 Å, b = 6.506 Å, c = 6.506 Å
α = 90.00°, β = 90.00°, γ = 90.00°
Space group Fm-3m (No. 225)
Asymmetric unit:
Ta  0.250  0.250  0.250 [8 per cell]
Os  0.000  0.000  0.000 [4 per cell]
Au  0.000  0.000  0.500 [4 per cell]

=====

A relaxed Pa2CrPtN5 crystal. Source: Alexandria via LeMat-Bulk, functional PBE.

Calculated values
DOS(E_F) = 0.407 states/eV/atom
spin magnetization = 2.338 μB per formula unit
formation energy without anion corrections = -0.7606 eV per atom

a = 3.340 Å, b = 12.884 Å, c = 10.176 Å
α = 90.00°, β = 90.00°, γ = 90.00°
Space group Cmc2_1 (No. 36)
Asymmetric unit:
Pa  0.000  0.092  0.000 [4 per cell]
Pa  0.000  0.155  0.634 [4 per cell]
Cr  0.000  0.214  0.352 [4 per cell]
Pt  0.000  0.469  0.776 [4 per cell]
N  0.000  0.070  0.408 [4 per cell]
N  0.000  0.269  0.992 [4 per cell]
N  0.000  0.315  0.716 [4 per cell]
N  0.000  0.371  0.331 [4 per cell]
N  0.000  0.481  0.088 [4 per cell]

=====

A relaxed K2Cd2B crystal. Source: Alexandria via LeMat-Bulk, functional PBE.

Calculated values
DOS(E_F) = 0.360 states/eV/atom
energy of formation = 766 meV/atom
spin magnetization = 1.098 μB per formula unit

a = 4.045 Å, b = 4.045 Å, c = 20.336 Å
α = 90.00°, β = 90.00°, γ = 90.00°
Space group I4/mmm (No. 139)
Asymmetric unit:
K  0.000  0.000  0.088 [4 per cell]
Cd  0.000  0.500  0.250 [4 per cell]
B  0.000  0.000  0.500 [2 per cell]

=====

A relaxed Pm6Nd2Ho crystal. Source: Alexandria via LeMat-Bulk, functional PBE.

Calculated values
DOS(E_F) = 1.396 states/eV/atom
energy of formation = 54 meV/atom
spin magnetization = 0.000 μB per formula unit

a = 9.938 Å, b = 17.282 Å, c = 3.558 Å
α = 90.00°, β = 90.00°, γ = 90.00°
Space group Cmmm (No. 65)
Asymmetric unit:
Pm  0.166  0.165  0.000 [8 per cell]
Pm  0.169  0.500  0.000 [4 per cell]
Nd  0.000  0.333  0.500 [4 per cell]
Ho  0.000  0.000  0.500 [2 per cell]

=====

A relaxed SrPAu2 crystal. Source: Alexandria via LeMat-Bulk, functional PBE.

Calculated values
DOS(E_F) = 0.632 states/eV/atom
energy of formation = -252 meV/atom
spin magnetization = 0.000 μB per formula unit

a = 3.615 Å, b = 3.615 Å, c = 7.016 Å
α = 90.00°, β = 90.00°, γ = 90.00°
Space group P4mm (No. 99)
Asymmetric unit:
Sr  0.000  0.000  0.000 [1 per cell]
P  0.500  0.500  0.640 [1 per cell]
Au  0.000  0.000  0.557 [1 per cell]
Au  0.500  0.500  0.270 [1 per cell]

=====

A relaxed FeSbTe2 crystal. Source: Alexandria via LeMat-Bulk, functional PBE.

Calculated values
DOS(E_F) = 0.233 states/eV/atom
spin magnetization = 0.993 μB per formula unit
formation energy without anion corrections = 0.1312 eV per atom

a = 3.109 Å, b = 3.109 Å, c = 10.707 Å
α = 90.00°, β = 90.00°, γ = 90.00°
Space group P4mm (No. 99)
Asymmetric unit:
Fe  0.000  0.000  0.000 [1 per cell]
Sb  0.500  0.500  0.166 [1 per cell]
Te  0.000  0.000  0.511 [1 per cell]
Te  0.500  0.500  0.860 [1 per cell]

=====

A relaxed CoOs2Cl crystal. Source: Alexandria via LeMat-Bulk, functional PBE.

Calculated values
DOS(E_F) = 1.139 states/eV/atom
spin magnetization = 0.000 μB per formula unit
formation energy without anion corrections = 0.8882 eV per atom

a = 2.964 Å, b = 2.964 Å, c = 6.718 Å
α = 90.00°, β = 90.00°, γ = 90.00°
Space group P4/mmm (No. 123)
Asymmetric unit:
Co  0.000  0.000  0.000 [1 per cell]
Os  0.500  0.500  0.194 [2 per cell]
Cl  0.000  0.000  0.500 [1 per cell]